A.
First-principles (PBE-GGA) data for crystalline CuAg4 at its relaxed geometry, as listed in OQMD via LeMat-Bulk.

Computed properties:
- Crystal system: monoclinic

Geometry as POSCAR:
```
CuAg4
1.0
9.8650 -1.4615 0.0000
9.8650 1.4615 0.0000
-0.8629 0.0000 5.8206
Ag Cu
8 2
Cartesian
2.1031 0.0000 0.3617
5.6528 0.0000 0.9657
9.6137 0.0000 1.4232
17.2831 0.0000 2.6682
1.5839 0.0000 3.1524
9.2533 0.0000 4.3973
13.2142 0.0000 4.8549
16.7639 0.0000 5.4588
13.5774 0.0000 2.1447
5.2897 0.0000 3.6759
```

***

B.
First-principles (PBE-GGA) data for crystalline CuAg4 at its relaxed geometry, as listed in OQMD via LeMat-Bulk.

Computed properties:
- Crystal system: monoclinic

Geometry as POSCAR:
```
CuAg4
1.0
7.0394 0.0000 0.0000
0.0000 2.8991 0.0000
-2.1174 0.0000 8.2382
Ag Cu
8 2
Cartesian
0.0000 1.4496 0.0000
4.7050 0.0000 0.8746
2.2912 1.4496 1.6708
4.8336 1.4496 3.3548
2.4610 0.0000 4.1191
0.0883 1.4496 4.8834
2.6308 1.4496 6.5674
0.2169 0.0000 7.3636
0.0480 0.0000 2.4621
4.8740 0.0000 5.7761
```

***

It is A that is the most stable of them.

***

A.
First-principles (PBE-GGA) data for crystalline NiGe2Pd at its relaxed geometry, as listed in OQMD via LeMat-Bulk.

Computed properties:
- Crystal system: orthorhombic

Geometry as POSCAR:
```
NiGe2Pd
1.0
-2.7317 0.1868 2.0602
3.2974 -1.3710 4.4964
1.1537 6.0055 0.9851
Ge Ni Pd
4 2 2
Cartesian
0.1933 -0.0601 3.1113
2.1773 1.3479 5.6143
2.4911 2.7016 3.0580
1.3016 5.4291 1.2335
2.6924 0.1241 3.5587
0.2584 3.9042 2.8381
1.1521 1.5402 1.3880
2.0746 3.9247 5.2445
```

***

B.
First-principles (PBE-GGA) data for crystalline NiGe2Pd at its relaxed geometry, as listed in OQMD via LeMat-Bulk.

Computed properties:
- Crystal system: orthorhombic

Geometry as POSCAR:
```
NiGe2Pd
1.0
1.4549 -9.2481 0.0000
1.4549 9.2481 0.0000
0.0000 0.0000 4.4663
Ge Ni Pd
4 2 2
Cartesian
1.4549 -4.0941 1.1166
1.4549 0.7755 1.1166
1.4549 -0.7755 3.3497
1.4549 4.0941 3.3497
1.4549 3.1252 1.1166
1.4549 -3.1252 3.3497
1.4549 7.3795 1.1166
1.4549 -7.3795 3.3497
```

***

It is A that is the most stable of them.

***

A.
First-principles (PBE-GGA) data for crystalline Dy2SiNi at its relaxed geometry, as listed in OQMD via LeMat-Bulk.

Computed properties:
- Crystal system: monoclinic

Geometry as POSCAR:
```
Dy2SiNi
1.0
5.5942 0.0000 0.0000
0.0000 3.8354 0.0000
-0.1208 0.0000 7.8030
Dy Ni Si
4 2 2
Cartesian
0.6453 0.9588 1.5101
3.4263 2.8765 2.5841
2.0471 0.9588 5.2189
4.8281 2.8765 6.2930
0.6187 2.8765 3.6463
4.8547 0.9588 4.1567
3.5074 0.9588 0.2785
1.9660 2.8765 7.5245
```

***

B.
First-principles (PBE-GGA) data for crystalline Dy2SiNi at its relaxed geometry, as listed in OQMD via LeMat-Bulk.

Computed properties:
- Crystal system: orthorhombic

Geometry as POSCAR:
```
Dy2SiNi
1.0
4.0337 0.0000 0.0000
0.0000 7.3291 0.0000
0.0000 0.0000 5.6960
Dy Ni Si
4 2 2
Cartesian
2.0169 6.6792 0.7118
2.0169 3.2342 2.0569
0.0000 0.6499 3.5598
0.0000 4.0949 4.9049
0.0000 5.2758 2.2173
2.0169 2.0533 5.0653
0.0000 1.5101 0.7100
2.0169 5.8190 3.5580
```

***

It is B that is the most stable of them.